(1)
First-principles (PBE-GGA) data for a relaxed Li3Tm2Cu12Si crystal, as listed in the Alexandria database.

a b c (Å): 5.2667 5.2667 33.4630
angles (deg): 90.00 90.00 120.00
Space group R-3m (No. 166, hexagonal axes)
Inequivalent atoms, fractional coordinates:
Li 0.0000 0.5000 0.0000 (multiplicity 9)
Tm 0.0000 0.0000 0.1447 (multiplicity 6)
Cu 0.0014 0.5007 0.1112 (multiplicity 18)
Cu 0.0212 0.5106 0.6106 (multiplicity 18)
Si 0.0000 0.0000 0.5000 (multiplicity 3)

Values from the calculation:
crystal system	trigonal
calculated volume	803.85	Å³/cell
ΔE_f (raw)	0.03	eV per atom
DOS(E_F)	7.2	states/eV/f.u.
energy	-3.822	eV/atom


(2)
First-principles (PBE-GGA) data for a relaxed Li2CuSiW crystal, as listed in the Alexandria database.

a b c (Å): 4.903 4.903 4.703
angles (deg): 90.00 90.00 90.00
Space group P4/mmm (No. 123)
Inequivalent atoms, fractional coordinates:
Li 0.000 0.500 0.000 (multiplicity 2)
Cu 0.000 0.000 0.500 (multiplicity 1)
Si 0.500 0.500 0.500 (multiplicity 1)
W 0.500 0.500 0.000 (multiplicity 1)

Values from the calculation:
crystal system	tetragonal
calculated volume	113.08	Å³/cell
ΔE_f (raw)	1.39	eV per atom
DOS(E_F)	2.5	states/eV/f.u.
energy	-3.869	eV/atom


(3)
First-principles (PBE-GGA) data for a relaxed Li2Y2CuSi4 crystal, as listed in the Alexandria database.

a b c (Å): 5.943 5.943 8.588
angles (deg): 90.00 90.00 90.00
Space group I4/mmm (No. 139)
Inequivalent atoms, fractional coordinates:
Li 0.000 0.000 0.216 (multiplicity 4)
Y 0.000 0.500 0.250 (multiplicity 4)
Cu 0.000 0.000 0.500 (multiplicity 2)
Si 0.212 0.212 0.000 (multiplicity 8)

Values from the calculation:
crystal system	tetragonal
calculated volume	303.28	Å³/cell
ΔE_f (raw)	-0.40	eV per atom
DOS(E_F)	3.5	states/eV/f.u.
energy	-5.126	eV/atom


(4)
First-principles (PBE-GGA) data for a relaxed Li2ZnCu5Si2 crystal, as listed in the Alexandria database.

a b c (Å): 8.618 8.618 3.630
angles (deg): 90.00 90.00 90.00
Space group P4/mbm (No. 127)
Inequivalent atoms, fractional coordinates:
Li 0.171 0.329 0.000 (multiplicity 4)
Zn 0.000 0.000 0.000 (multiplicity 2)
Cu 0.000 0.500 0.500 (multiplicity 2)
Cu 0.069 0.797 0.500 (multiplicity 8)
Si 0.125 0.625 0.000 (multiplicity 4)

Values from the calculation:
crystal system	tetragonal
calculated volume	269.54	Å³/cell
ΔE_f (raw)	-0.08	eV per atom
DOS(E_F)	2.2	states/eV/f.u.
energy	-3.728	eV/atom


(5)
First-principles (PBE-GGA) data for a relaxed LiZnCuSi crystal, as listed in the Alexandria database.

a b c (Å): 5.943 5.943 5.943
angles (deg): 90.00 90.00 90.00
Space group F-43m (No. 216)
Inequivalent atoms, fractional coordinates:
Li 0.000 0.000 0.000 (multiplicity 4)
Zn 0.250 0.250 0.250 (multiplicity 4)
Cu 0.000 0.000 0.500 (multiplicity 4)
Si 0.250 0.250 0.750 (multiplicity 4)

Values from the calculation:
crystal system	cubic
calculated volume	209.91	Å³/cell
ΔE_f (raw)	-0.10	eV per atom
DOS(E_F)	0.6	states/eV/f.u.
energy	-3.278	eV/atom


(6)
First-principles (PBE-GGA) data for a relaxed Li2Sm3Cu4 crystal, as listed in the Alexandria database.

a b c (Å): 10.727 4.337 8.480
angles (deg): 90.00 113.28 90.00
Space group C2/m (No. 12)
Inequivalent atoms, fractional coordinates:
Li 0.166 0.000 0.332 (multiplicity 4)
Sm 0.000 0.500 0.000 (multiplicity 2)
Sm 0.141 0.000 0.692 (multiplicity 4)
Cu 0.073 0.500 0.408 (multiplicity 4)
Cu 0.228 0.000 0.061 (multiplicity 4)

Values from the calculation:
crystal system	monoclinic
calculated volume	362.41	Å³/cell
DOS(E_F)	7.2	states/eV/f.u.
energy	-3.918	eV/atom


(7)
First-principles (PBE-GGA) data for a relaxed LiSmCu2 crystal, as listed in the Alexandria database.

a b c (Å): 3.359 3.359 6.358
angles (deg): 90.00 90.00 90.00
Space group P4/mmm (No. 123)
Inequivalent atoms, fractional coordinates:
Li 0.000 0.000 0.000 (multiplicity 1)
Sm 0.000 0.000 0.500 (multiplicity 1)
Cu 0.500 0.500 0.198 (multiplicity 2)

Values from the calculation:
crystal system	tetragonal
calculated volume	71.75	Å³/cell
DOS(E_F)	1.9	states/eV/f.u.
energy	-3.752	eV/atom
energy relative to the lowest polymorph listed for this composition	70	meV/atom


(8)
First-principles (PBE-GGA) data for a relaxed Li2Sm3Cu9 crystal, as listed in the Alexandria database.

a b c (Å): 4.279 8.690 12.660
angles (deg): 90.00 90.00 90.00
Space group Immm (No. 71)
Inequivalent atoms, fractional coordinates:
Li 0.000 0.194 0.000 (multiplicity 4)
Sm 0.000 0.000 0.208 (multiplicity 4)
Sm 0.000 0.000 0.500 (multiplicity 2)
Cu 0.000 0.286 0.372 (multiplicity 8)
Cu 0.000 0.354 0.167 (multiplicity 8)
Cu 0.000 0.500 0.500 (multiplicity 2)

Values from the calculation:
crystal system	orthorhombic
calculated volume	470.73	Å³/cell
DOS(E_F)	7.0	states/eV/f.u.
energy	-4.068	eV/atom


(9)
First-principles (PBE-GGA) data for a relaxed LiSm3Cu8 crystal, as listed in the Alexandria database.

a b c (Å): 5.2067 5.2067 25.7787
angles (deg): 90.00 90.00 120.00
Space group R3m (No. 160, hexagonal axes)
Inequivalent atoms, fractional coordinates:
Li 0.0000 0.0000 0.0000 (multiplicity 3)
Sm 0.0000 0.0000 0.1198 (multiplicity 3)
Sm 0.0000 0.0000 0.5093 (multiplicity 3)
Sm 0.0000 0.0000 0.6362 (multiplicity 3)
Cu 0.0000 0.0000 0.3177 (multiplicity 3)
Cu 0.0000 0.0000 0.8155 (multiplicity 3)
Cu 0.0012 0.5006 0.5682 (multiplicity 9)
Cu 0.0083 0.5042 0.0651 (multiplicity 9)

Values from the calculation:
crystal system	trigonal
calculated volume	605.23	Å³/cell
DOS(E_F)	11.5	states/eV/f.u.
energy	-4.205	eV/atom


(10)
First-principles (PBE-GGA) data for a relaxed LiSmCu2 crystal, as listed in the Alexandria database.

a b c (Å): 6.692 6.692 6.692
angles (deg): 90.00 90.00 90.00
Space group Fm-3m (No. 225)
Inequivalent atoms, fractional coordinates:
Li 0.000 0.000 0.000 (multiplicity 4)
Sm 0.000 0.000 0.500 (multiplicity 4)
Cu 0.250 0.250 0.250 (multiplicity 8)

Values from the calculation:
crystal system	cubic
calculated volume	299.69	Å³/cell
DOS(E_F)	2.6	states/eV/f.u.
energy	-3.762	eV/atom
energy relative to the lowest polymorph listed for this composition	60	meV/atom


(11)
First-principles (PBE-GGA) data for a relaxed LiSm2Cu2 crystal, as listed in the Alexandria database.

a b c (Å): 7.671 7.671 3.825
angles (deg): 90.00 90.00 90.00
Space group P4/mbm (No. 127)
Inequivalent atoms, fractional coordinates:
Li 0.000 0.000 0.000 (multiplicity 2)
Sm 0.172 0.328 0.500 (multiplicity 4)
Cu 0.120 0.620 0.000 (multiplicity 4)

Values from the calculation:
crystal system	tetragonal
calculated volume	225.07	Å³/cell
DOS(E_F)	4.4	states/eV/f.u.
energy	-4.039	eV/atom


(12)
First-principles (PBE-GGA) data for a relaxed Li5Sm2Cu12 crystal, as listed in the Alexandria database.

a b c (Å): 8.6623 8.6623 12.7431
angles (deg): 90.00 90.00 120.00
Space group R-3m (No. 166, hexagonal axes)
Inequivalent atoms, fractional coordinates:
Li 0.0000 0.0000 0.0913 (multiplicity 6)
Li 0.0000 0.5000 0.5000 (multiplicity 9)
Sm 0.0000 0.0000 0.3531 (multiplicity 6)
Cu 0.0000 0.3026 0.0000 (multiplicity 18)
Cu 0.0020 0.5010 0.1583 (multiplicity 18)

Values from the calculation:
crystal system	trigonal
calculated volume	828.07	Å³/cell
DOS(E_F)	8.9	states/eV/f.u.
energy	-3.693	eV/atom